KLiSnMo2 (GGA-PBEsol, optimized geometry); D(E_F) = 5.526 states/eV per cell; magnetic moment = 3.9 μB per formula unit; space-group type = P4/mmm, No. 123; final energy = -4.619 eV/atom; ΔH_f (0 K) = 1.560 eV/atom
1.0
4.6242 0.0000 0.0000
0.0000 4.6242 0.0000
0.0000 0.0000 4.6707
K Li Sn Mo
1 1 1 2
Direct
0.0000 0.0000 0.0000
0.5000 0.5000 0.5000
0.5000 0.5000 0.0000
0.0000 0.5000 0.5000
0.5000 0.0000 0.5000